[1]
## K2InTe2 (PBE-GGA)

Data for K2InTe2 after structural relaxation.

Output
* symmetry: P4/mbm, No. 127
* offset from the most stable computed form: 256 meV/atom

Lattice parameters (Å, degrees): 9.989 9.989 3.634 90.00 90.00 90.00
Fractional positions:
In1 0.000 0.000 0.000
In2 0.500 0.500 0.000
Te1 0.823 0.323 0.500
K1 0.122 0.378 0.000
Te2 0.177 0.677 0.500
K2 0.878 0.622 0.000
K3 0.622 0.122 0.000
Te3 0.677 0.823 0.500
Te4 0.323 0.177 0.500
K4 0.378 0.878 0.000

---

[2]
## NpRh2O6 (PBE-GGA)

Data for NpRh2O6 after structural relaxation.

Output
* energy: -7.99 eV/atom
* symmetry: P321, No. 150

Lattice parameters (Å, degrees): 4.592 8.952 8.952 120.00 90.00 90.00
Each line ends with the local moment (μB).
Fractional positions:
O1 0.755 0.561 0.109  -0.04
Np1 0.495 0.333 0.667  1.32
Rh1 0.500 0.000 0.673  -0.03
Rh2 0.500 0.327 0.327  -0.03
O2 0.245 0.439 0.548  -0.04
O3 0.744 0.558 0.775  -0.04
O4 0.755 0.891 0.452  -0.04
Rh3 0.000 0.661 0.661  -0.03
O5 0.752 0.891 0.115  -0.04
Rh4 0.000 0.339 0.000  -0.03
O6 0.256 0.775 0.558  -0.04
O7 0.245 0.452 0.891  -0.04
O8 0.752 0.224 0.109  -0.04
O9 0.744 0.225 0.783  -0.04
O10 0.248 0.115 0.891  -0.04
O11 0.248 0.776 0.885  -0.04
Np2 0.000 0.000 0.000  1.32
O12 0.245 0.109 0.561  -0.04
O13 0.248 0.109 0.224  -0.04
Np3 0.505 0.667 0.333  1.32
O14 0.755 0.548 0.439  -0.04
Rh5 0.500 0.673 0.000  -0.03
O15 0.256 0.442 0.217  -0.04
Rh6 0.000 0.000 0.339  -0.03
O16 0.256 0.783 0.225  -0.04
O17 0.752 0.885 0.776  -0.04
O18 0.744 0.217 0.442  -0.04

---

[3]
## Ce2Y3PuTe6 (PBE-GGA)

Data for Ce2Y3PuTe6 after structural relaxation.

Output
* energy: -6.68 eV/atom
* symmetry: C2/m, No. 12

Lattice parameters (Å, degrees): 4.386 8.903 9.919 103.91 102.77 90.00
Each line ends with the local moment (μB).
Fractional positions:
Te1 0.664 0.590 0.328  -0.01
Y1 0.500 0.500 0.000  0.00
Te2 0.336 0.410 0.672  -0.01
Te3 0.998 0.252 0.995  -0.03
Y2 0.167 0.834 0.334  0.01
Te4 0.002 0.748 0.005  -0.03
Ce1 0.167 0.335 0.334  1.01
Te5 0.333 0.923 0.665  -0.02
Ce2 0.833 0.665 0.666  1.01
Y3 0.833 0.166 0.666  0.01
Pu1 0.500 0.000 0.000  5.60
Te6 0.667 0.077 0.335  -0.02

---

[4]
## Pr3Nd6Sm (PBE-GGA)

Data for Pr3Nd6Sm after structural relaxation.

Output
* formation energy: 130 meV/atom
* symmetry: Cmc2_1, No. 36
* offset from the most stable computed form: 0 meV/atom

Lattice parameters (Å, degrees): 6.535 11.249 11.249 120.75 90.00 90.00
Fractional positions:
Nd1 0.874 0.473 0.057
Pr1 0.962 0.707 0.942
Nd2 0.648 0.279 0.721
Sm1 0.109 0.190 0.810
Nd3 0.859 0.034 0.966
Nd4 0.874 0.943 0.527
Pr2 0.085 0.384 0.616
Nd5 0.374 0.527 0.943
Sm2 0.609 0.810 0.190
Nd6 0.557 0.629 0.711
Nd7 0.359 0.966 0.034
Nd8 0.057 0.371 0.289
Nd9 0.557 0.289 0.371
Pr3 0.462 0.942 0.707
Nd10 0.374 0.057 0.473
Nd11 0.057 0.711 0.629
Pr4 0.585 0.616 0.384
Nd12 0.148 0.721 0.279
Pr5 0.962 0.058 0.293
Pr6 0.462 0.293 0.058

---

Record-wise N(E_F) values, in states/eV per atom: 0.190, 0.276, 2.018, 1.346